Below is CaHfSi2Tc after structural relaxation, with properties calculated at the PBE level.

- Space-group type: No. 123
- D(E_F): 4.0 states/eV per cell
- Raw formation energy: 0.1526 eV/atom

Cell lengths 4.7140, 4.7140, 5.0195 Å; angles 90.00, 90.00, 90.00 degrees
Sites, in units of the cell vectors:
Ca 0.0000 0.0000 0.0000
Hf 0.5000 0.5000 0.0000
Si 0.0000 0.5000 0.5000
Si 0.5000 0.0000 0.5000
Tc 0.5000 0.5000 0.5000

Below is CaHfSi2W after structural relaxation, with properties calculated at the PBE level.

- Space-group type: No. 123
- D(E_F): 3.4 states/eV per cell
- Raw formation energy: 1.9746 eV/atom

Cell lengths 4.8195, 4.8195, 4.5988 Å; angles 90.00, 90.00, 90.00 degrees
Sites, in units of the cell vectors:
Ca 0.0000 0.0000 0.0000
Hf 0.5000 0.5000 0.5000
Si 0.0000 0.5000 0.0000
Si 0.5000 0.0000 0.0000
W 0.0000 0.0000 0.5000

Below is CaSm2Hf after structural relaxation, with properties calculated at the PBE level.

- Space-group type: No. 123
- D(E_F): 6.1 states/eV per cell
- Energy of formation: 0.14 eV/atom

Cell lengths 3.5200, 3.5200, 10.2476 Å; angles 90.00, 90.00, 90.00 degrees
Sites, in units of the cell vectors:
Ca 0.0000 0.0000 0.0000
Sm 0.5000 0.5000 0.2843
Sm 0.5000 0.5000 0.7157
Hf 0.0000 0.0000 0.5000

Below is CaSm2Hf after structural relaxation, with properties calculated at the PBE level.

- Space-group type: No. 166
- D(E_F): 5.7 states/eV per cell
- Energy of formation: 0.46 eV/atom

Cell lengths 12.7148, 12.7148, 12.7148 Å; angles 15.26, 15.26, 15.26 degrees
Sites, in units of the cell vectors:
Ca 0.0000 0.0000 0.0000
Sm 0.4186 0.4186 0.4186
Sm 0.5814 0.5814 0.5814
Hf 0.5000 0.5000 0.5000

Below is CaHfSn3 after structural relaxation, with properties calculated at the PBE level.

- Space-group type: No. 221
- D(E_F): 1.8 states/eV per cell
- Energy of formation: -0.03 eV/atom

Cell lengths 5.5090, 5.5090, 5.5090 Å; angles 90.00, 90.00, 90.00 degrees
Sites, in units of the cell vectors:
Ca 0.0000 0.0000 0.0000
Hf 0.5000 0.5000 0.5000
Sn 0.0000 0.5000 0.5000
Sn 0.5000 0.0000 0.5000
Sn 0.5000 0.5000 0.0000

Below is CaHf2Sn2 after structural relaxation, with properties calculated at the PBE level.

- Space-group type: No. 127
- D(E_F): 9.0 states/eV per cell
- Energy of formation: -0.22 eV/atom

Cell lengths 8.0659, 8.0659, 3.7840 Å; angles 90.00, 90.00, 90.00 degrees
Sites, in units of the cell vectors:
Ca 0.0000 0.0000 0.0000
Ca 0.5000 0.5000 0.0000
Hf 0.1519 0.3481 0.5000
Hf 0.3481 0.8481 0.5000
Hf 0.6519 0.1519 0.5000
Hf 0.8481 0.6519 0.5000
Sn 0.1432 0.6432 0.0000
Sn 0.3568 0.1432 0.0000
Sn 0.6432 0.8568 0.0000
Sn 0.8568 0.3568 0.0000

In order of appearance, electronic total energy = -6.481 -5.176 -5.208 -4.883 -4.818 -6.204 eV/atom.